DFT (PBE) results for PaCdCu after structural relaxation.

Values from the calculation:
DOS(E_F) = 3.8 states/eV per cell
energy above the most stable polymorph in this dataset = 0 meV per atom
DFT total energy = -4.76 eV/atom
space-group type = I4mm

The structure in POSCAR format:
```
PaCdCu
1.0
-1.558 1.558 6.162
1.558 -1.558 6.162
1.558 1.558 -6.162
Pa Cd Cu
1 1 1
direct
0.000 0.000 0.000 Pa
0.294 0.294 0.000 Cd
0.658 0.658 0.000 Cu
```